i | Compound: TlOs2W
Source: Alexandria
Functional: PBE
Structure: optimized geometry

Total magnetization   0.00 μB/cell
DOS(E_F)   0.88 states/eV per atom
Crystal system   monoclinic

Unit cell a=9.517 b=2.901 c=4.946 alpha=90.00 beta=100.77 gamma=90.00
Space group Cm (No. 8)
Asymmetric unit:
Tl1 0.000 0.000 0.000 [2 per cell]
Os1 0.016 0.500 0.497 [2 per cell]
Os2 0.240 0.000 0.757 [2 per cell]
W1 0.270 0.500 0.317 [2 per cell]

---

ii | Compound: TlOs2W
Source: Alexandria
Functional: PBE
Structure: optimized geometry

Total magnetization   0.00 μB/cell
DOS(E_F)   1.17 states/eV per atom
Crystal system   orthorhombic

Unit cell a=5.883 b=7.647 c=2.938 alpha=90.00 beta=90.00 gamma=90.00
Space group Cmmm (No. 65)
Asymmetric unit:
Tl1 0.000 0.000 0.000 [2 per cell]
Os1 0.250 0.250 0.500 [4 per cell]
W1 0.000 0.500 0.000 [2 per cell]

---

Least stable of them? ii.

---

i | Compound: TlOs2W
Source: Alexandria
Functional: PBE
Structure: optimized geometry

Total magnetization   0.00 μB/cell
DOS(E_F)   0.69 states/eV per atom
Crystal system   orthorhombic

Unit cell a=3.185 b=4.484 c=9.351 alpha=90.00 beta=90.00 gamma=90.00
Space group Imm2 (No. 44)
Asymmetric unit:
Tl1 0.000 0.000 0.000 [2 per cell]
Os1 0.000 0.000 0.482 [2 per cell]
Os2 0.000 0.500 0.250 [2 per cell]
W1 0.000 0.500 0.755 [2 per cell]

---

ii | Compound: TlOs2W
Source: Alexandria
Functional: PBE
Structure: optimized geometry

Total magnetization   4.20 μB/cell
DOS(E_F)   1.27 states/eV per atom
Crystal system   cubic

Unit cell a=6.435 b=6.435 c=6.435 alpha=90.00 beta=90.00 gamma=90.00
Space group F-43m (No. 216)
Asymmetric unit:
Tl1 0.000 0.000 0.000 [4 per cell]
Os1 0.000 0.000 0.500 [4 per cell]
Os2 0.250 0.250 0.750 [4 per cell]
W1 0.250 0.250 0.250 [4 per cell]

---

iii | Compound: TlOs2W
Source: Alexandria
Functional: PBE
Structure: optimized geometry

Total magnetization   0.00 μB/cell
DOS(E_F)   0.89 states/eV per atom
Crystal system   orthorhombic

Unit cell a=3.028 b=4.816 c=9.556 alpha=90.00 beta=90.00 gamma=90.00
Space group Cmmm (No. 65)
Asymmetric unit:
Tl1 0.000 0.000 0.000 [2 per cell]
Os1 0.000 0.500 0.278 [4 per cell]
W1 0.000 0.000 0.500 [2 per cell]

---

Least stable of them? ii.

---

i | Compound: YTlOs3
Source: Alexandria
Functional: PBE
Structure: optimized geometry

Total magnetization   4.02 μB/cell
DOS(E_F)   0.85 states/eV per atom
Crystal system   cubic

Unit cell a=4.981 b=4.981 c=4.981 alpha=90.00 beta=90.00 gamma=90.00
Space group Pm-3m (No. 221)
Asymmetric unit:
Y1 0.000 0.000 0.000 [1 per cell]
Tl1 0.500 0.500 0.500 [1 per cell]
Os1 0.000 0.000 0.500 [3 per cell]

---

ii | Compound: YTlOs3
Source: Alexandria
Functional: PBE
Structure: optimized geometry

Total magnetization   0.86 μB/cell
DOS(E_F)   1.72 states/eV per atom
Crystal system   cubic

Unit cell a=4.921 b=4.921 c=4.921 alpha=90.00 beta=90.00 gamma=90.00
Space group Pm-3m (No. 221)
Asymmetric unit:
Y1 0.000 0.000 0.000 [1 per cell]
Tl1 0.500 0.500 0.500 [1 per cell]
Os1 0.000 0.500 0.500 [3 per cell]

---

Least stable of them? i.

---

i | Compound: TlZnOs3
Source: Alexandria
Functional: PBE
Structure: optimized geometry

Total magnetization   4.95 μB/cell
DOS(E_F)   0.99 states/eV per atom
Crystal system   cubic

Unit cell a=4.964 b=4.964 c=4.964 alpha=90.00 beta=90.00 gamma=90.00
Space group Pm-3m (No. 221)
Asymmetric unit:
Tl1 0.000 0.000 0.000 [1 per cell]
Zn1 0.500 0.500 0.500 [1 per cell]
Os1 0.000 0.000 0.500 [3 per cell]

---

ii | Compound: TlZnOs3
Source: Alexandria
Functional: PBE
Structure: optimized geometry

Total magnetization   2.59 μB/cell
DOS(E_F)   1.40 states/eV per atom
Crystal system   cubic

Unit cell a=4.558 b=4.558 c=4.558 alpha=90.00 beta=90.00 gamma=90.00
Space group Pm-3m (No. 221)
Asymmetric unit:
Tl1 0.000 0.000 0.000 [1 per cell]
Zn1 0.500 0.500 0.500 [1 per cell]
Os1 0.000 0.500 0.500 [3 per cell]

---

Least stable of them? i.

---

i | Compound: ZrTl3Os
Source: Alexandria
Functional: PBE
Structure: optimized geometry

Total magnetization   0.00 μB/cell
DOS(E_F)   1.63 states/eV per atom
Crystal system   cubic

Unit cell a=5.208 b=5.208 c=5.208 alpha=90.00 beta=90.00 gamma=90.00
Space group Pm-3m (No. 221)
Asymmetric unit:
Zr1 0.000 0.000 0.000 [1 per cell]
Tl1 0.000 0.500 0.500 [3 per cell]
Os1 0.500 0.500 0.500 [1 per cell]

---

ii | Compound: ZrTl3Os
Source: Alexandria
Functional: PBE
Structure: optimized geometry

Total magnetization   3.27 μB/cell
DOS(E_F)   1.65 states/eV per atom
Crystal system   cubic

Unit cell a=5.587 b=5.587 c=5.587 alpha=90.00 beta=90.00 gamma=90.00
Space group Pm-3m (No. 221)
Asymmetric unit:
Zr1 0.000 0.000 0.000 [1 per cell]
Tl1 0.000 0.000 0.500 [3 per cell]
Os1 0.500 0.500 0.500 [1 per cell]

---

Least stable of them? ii.

---

i | Compound: Zr2TlOs2
Source: Alexandria
Functional: PBE
Structure: optimized geometry

Total magnetization   0.00 μB/cell
DOS(E_F)   0.89 states/eV per atom
Crystal system   tetragonal

Unit cell a=4.505 b=4.505 c=10.891 alpha=90.00 beta=90.00 gamma=90.00
Space group I4/mmm (No. 139)
Asymmetric unit:
Zr1 0.000 0.500 0.250 [4 per cell]
Tl1 0.000 0.000 0.000 [2 per cell]
Os1 0.000 0.000 0.387 [4 per cell]

---

ii | Compound: Zr2TlOs2
Source: Alexandria
Functional: PBE
Structure: optimized geometry

Total magnetization   0.00 μB/cell
DOS(E_F)   1.23 states/eV per atom
Crystal system   tetragonal

Unit cell a=7.775 b=7.775 c=3.246 alpha=90.00 beta=90.00 gamma=90.00
Space group P4/mbm (No. 127)
Asymmetric unit:
Zr1 0.155 0.345 0.000 [4 per cell]
Tl1 0.000 0.000 0.500 [2 per cell]
Os1 0.139 0.639 0.500 [4 per cell]

---

Least stable of them? i.

---

i | Compound: YTmOs
Source: Alexandria
Functional: PBE
Structure: optimized geometry

Total magnetization   0.00 μB/cell
DOS(E_F)   0.57 states/eV per atom
Crystal system   tetragonal

Unit cell a=4.790 b=4.790 c=6.674 alpha=90.00 beta=90.00 gamma=90.00
Space group P4_2/mmc (No. 131)
Asymmetric unit:
Y1 0.000 0.500 0.000 [2 per cell]
Tm1 0.000 0.500 0.500 [2 per cell]
Os1 0.000 0.000 0.250 [2 per cell]

---

ii | Compound: YTmOs
Source: Alexandria
Functional: PBE
Structure: optimized geometry

Total magnetization   0.00 μB/cell
DOS(E_F)   0.38 states/eV per atom
Crystal system   cubic

Unit cell a=6.728 b=6.728 c=6.728 alpha=90.00 beta=90.00 gamma=90.00
Space group F-43m (No. 216)
Asymmetric unit:
Y1 0.000 0.000 0.000 [4 per cell]
Tm1 0.000 0.000 0.500 [4 per cell]
Os1 0.250 0.250 0.750 [4 per cell]

---

iii | Compound: YTmOs
Source: Alexandria
Functional: PBE
Structure: optimized geometry

Total magnetization   0.00 μB/cell
DOS(E_F)   0.47 states/eV per atom
Crystal system   tetragonal

Unit cell a=3.384 b=3.384 c=12.995 alpha=90.00 beta=90.00 gamma=90.00
Space group I4mm (No. 107)
Asymmetric unit:
Y1 0.000 0.000 0.000 [2 per cell]
Tm1 0.000 0.000 0.253 [2 per cell]
Os1 0.000 0.000 0.630 [2 per cell]

---

Least stable of them? i.

---

i | Compound: YTmOs
Source: Alexandria
Functional: PBE
Structure: optimized geometry

Total magnetization   0.00 μB/cell
DOS(E_F)   0.59 states/eV per atom
Crystal system   orthorhombic

Unit cell a=3.470 b=15.865 c=5.131 alpha=90.00 beta=90.00 gamma=90.00
Space group Cmcm (No. 63)
Asymmetric unit:
Y1 0.000 0.072 0.250 [4 per cell]
Tm1 0.000 0.210 0.750 [4 per cell]
Os1 0.000 0.424 0.250 [4 per cell]

---

ii | Compound: YTmOs
Source: Alexandria
Functional: PBE
Structure: optimized geometry

Total magnetization   0.00 μB/cell
DOS(E_F)   0.74 states/eV per atom
Crystal system   trigonal

Unit cell a=5.4037 b=5.4037 c=7.9733 alpha=90.00 beta=90.00 gamma=120.00
Space group P3_212 (No. 153)
Asymmetric unit:
Y1 0.1764 0.3527 0.3333 [3 per cell]
Tm1 0.3665 0.1833 0.0000 [3 per cell]
Os1 0.0011 0.5006 0.0000 [3 per cell]

---

Least stable of them? ii.

---

i | Compound: Tm3Zn2Os
Source: Alexandria
Functional: PBE
Structure: optimized geometry

Total magnetization   0.00 μB/cell
DOS(E_F)   0.85 states/eV per atom
Crystal system   tetragonal

Unit cell a=3.449 b=3.449 c=10.545 alpha=90.00 beta=90.00 gamma=90.00
Space group P4/mmm (No. 123)
Asymmetric unit:
Tm1 0.000 0.000 0.000 [1 per cell]
Tm2 0.000 0.000 0.347 [2 per cell]
Zn1 0.500 0.500 0.169 [2 per cell]
Os1 0.500 0.500 0.500 [1 per cell]

---

ii | Compound: Tm3Zn2Os
Source: Alexandria
Functional: PBE
Structure: optimized geometry

Total magnetization   0.00 μB/cell
DOS(E_F)   0.42 states/eV per atom
Crystal system   trigonal

Unit cell a=4.8643 b=4.8643 c=6.0155 alpha=90.00 beta=90.00 gamma=120.00
Space group P-3m1 (No. 164)
Asymmetric unit:
Tm1 0.0000 0.0000 0.0000 [1 per cell]
Tm2 0.3333 0.6667 0.6528 [2 per cell]
Zn1 0.3333 0.6667 0.1589 [2 per cell]
Os1 0.0000 0.0000 0.5000 [1 per cell]

---

Least stable of them? i.

---

i | Compound: Tm4ZnOs
Source: Alexandria
Functional: PBE
Structure: optimized geometry

Total magnetization   0.00 μB/cell
DOS(E_F)   1.29 states/eV per atom
Crystal system   cubic

Unit cell a=13.274 b=13.274 c=13.274 alpha=90.00 beta=90.00 gamma=90.00
Space group F-43m (No. 216)
Asymmetric unit:
Tm1 0.000 0.000 0.191 [24 per cell]
Tm2 0.057 0.250 0.750 [24 per cell]
Tm3 0.101 0.101 0.399 [16 per cell]
Zn1 0.173 0.173 0.173 [16 per cell]
Os1 0.110 0.110 0.610 [16 per cell]

---

ii | Compound: Tm4ZnOs
Source: Alexandria
Functional: PBE
Structure: optimized geometry

Total magnetization   0.00 μB/cell
DOS(E_F)   1.28 states/eV per atom
Crystal system   tetragonal

Unit cell a=4.803 b=4.803 c=6.816 alpha=90.00 beta=90.00 gamma=90.00
Space group P4/mmm (No. 123)
Asymmetric unit:
Tm1 0.000 0.500 0.238 [4 per cell]
Zn1 0.000 0.000 0.500 [1 per cell]
Os1 0.500 0.500 0.000 [1 per cell]

---

Least stable of them? ii.

---

i | Compound: TmZrZnOs
Source: Alexandria
Functional: PBE
Structure: optimized geometry

Total magnetization   0.00 μB/cell
DOS(E_F)   0.46 states/eV per atom
Crystal system   cubic

Unit cell a=6.738 b=6.738 c=6.738 alpha=90.00 beta=90.00 gamma=90.00
Space group F-43m (No. 216)
Asymmetric unit:
Tm1 0.000 0.000 0.000 [4 per cell]
Zr1 0.000 0.000 0.500 [4 per cell]
Zn1 0.250 0.250 0.250 [4 per cell]
Os1 0.250 0.250 0.750 [4 per cell]

---

ii | Compound: TmZrZnOs
Source: Alexandria
Functional: PBE
Structure: optimized geometry

Total magnetization   0.00 μB/cell
DOS(E_F)   0.52 states/eV per atom
Crystal system   tetragonal

Unit cell a=3.353 b=3.353 c=6.888 alpha=90.00 beta=90.00 gamma=90.00
Space group P4mm (No. 99)
Asymmetric unit:
Tm1 0.000 0.000 0.000 [1 per cell]
Zr1 0.000 0.000 0.479 [1 per cell]
Zn1 0.500 0.500 0.722 [1 per cell]
Os1 0.500 0.500 0.261 [1 per cell]

---

Least stable of them? i.